The following is a DFT calculation (SCAN) of K2LiCeBr6 at its PBEsol-relaxed geometry.

Computed properties:
The space group is No. 225. The uncorrected formation energy comes out at -1.89 eV/atom.

Cell: 7.7675 7.7675 7.7675 Å, 60.00 60.00 60.00°
With the nearest neighbours (Å) after each atom.
Sites, in units of the cell vectors:
1 K 0.2500 0.2500 0.2500  12 Br 3.88
2 K 0.7500 0.7500 0.7500  12 Br 3.88
3 Br 0.2590 0.2590 0.7410  1 Li 2.65, 1 Ce 2.84
4 Br 0.2590 0.7410 0.7410  1 Li 2.65, 1 Ce 2.84
5 Br 0.2590 0.7410 0.2590  1 Li 2.65, 1 Ce 2.84
6 Br 0.7410 0.2590 0.7410  1 Li 2.65, 1 Ce 2.84
7 Br 0.7410 0.2590 0.2590  1 Li 2.65, 1 Ce 2.84
8 Br 0.7410 0.7410 0.2590  1 Li 2.65, 1 Ce 2.84
9 Ce 0.0000 0.0000 0.0000  6 Br 2.84
10 Li 0.5000 0.5000 0.5000  6 Br 2.65

=====

The following is a DFT calculation (SCAN) of CeMoBrO4 at its PBEsol-relaxed geometry.

Computed properties:
The space group is No. 14. The uncorrected formation energy comes out at -2.61 eV/atom.

Cell: 5.8717 7.5397 9.7719 Å, 90.15 90.00 90.00°
With the nearest neighbours (Å) after each atom.
Sites, in units of the cell vectors:
1 O 0.5271 0.4111 0.2678  1 Mo 1.86
2 O 0.0265 0.6627 0.7308  1 Mo 1.85
3 O 0.5265 0.8373 0.2692  1 Mo 1.85
4 O 0.3183 0.1247 0.3374  2 Mo 1.93-1.94
5 O 0.0271 0.0889 0.7322  1 Mo 1.86
6 O 0.2495 0.8754 0.5323  1 Mo 1.73
7 O 0.7505 0.1246 0.4677  1 Mo 1.73
8 O 0.8183 0.3753 0.6626  2 Mo 1.93-1.94
9 O 0.4735 0.1627 0.7308  1 Mo 1.85
10 O 0.6817 0.8753 0.6626  2 Mo 1.93-1.94
11 O 0.4729 0.5889 0.7322  1 Mo 1.86
12 O 0.2505 0.3754 0.5323  1 Mo 1.73
13 O 0.7495 0.6246 0.4677  1 Mo 1.73
14 O 0.9735 0.3373 0.2692  1 Mo 1.85
15 O 0.9729 0.9111 0.2678  1 Mo 1.86
16 O 0.1817 0.6247 0.3374  2 Mo 1.93-1.94
17 Mo 0.2499 0.8752 0.3548  5 O 1.73-1.94
18 Mo 0.7499 0.6248 0.6452  5 O 1.73-1.94
19 Mo 0.2501 0.3752 0.3548  5 O 1.73-1.94
20 Mo 0.7501 0.1248 0.6452  5 O 1.73-1.94
21 Ce 0.6881 0.1241 0.2227  6 O 2.36-2.44
22 Ce 0.3119 0.8759 0.7773  6 O 2.36-2.44
23 Ce 0.1881 0.3759 0.7773  6 O 2.36-2.44
24 Ce 0.8119 0.6241 0.2227  6 O 2.36-2.44
25 Br 0.7437 0.8749 0.9779  3 Ce 3.06-3.20, 5 O 3.10-3.34
26 Br 0.7563 0.3749 0.9779  3 Ce 3.06-3.20, 5 O 3.10-3.34
27 Br 0.2563 0.1251 0.0221  3 Ce 3.06-3.20, 5 O 3.10-3.34
28 Br 0.2437 0.6251 0.0221  3 Ce 3.06-3.20, 5 O 3.10-3.34

=====

The following is a DFT calculation (SCAN) of Rb2NaCeBr6 at its PBEsol-relaxed geometry.

Computed properties:
The space group is No. 225. The uncorrected formation energy comes out at -1.94 eV/atom.

Cell: 8.0367 8.0367 8.0367 Å, 60.00 60.00 60.00°
With the nearest neighbours (Å) after each atom.
Sites, in units of the cell vectors:
1 Br 0.2508 0.7492 0.7492  1 Na 2.83, 1 Ce 2.85
2 Br 0.2508 0.7492 0.2508  1 Na 2.83, 1 Ce 2.85
3 Br 0.2508 0.2508 0.7492  1 Na 2.83, 1 Ce 2.85
4 Br 0.7492 0.2508 0.7492  1 Na 2.83, 1 Ce 2.85
5 Br 0.7492 0.7492 0.2508  1 Na 2.83, 1 Ce 2.85
6 Br 0.7492 0.2508 0.2508  1 Na 2.83, 1 Ce 2.85
7 Rb 0.2500 0.2500 0.2500  12 Br 4.02
8 Rb 0.7500 0.7500 0.7500  12 Br 4.02
9 Ce 0.0000 0.0000 0.0000  6 Br 2.85
10 Na 0.5000 0.5000 0.5000  6 Br 2.83

=====

The following is a DFT calculation (SCAN) of CeBrO at its PBEsol-relaxed geometry.

Computed properties:
The space group is No. 129. The uncorrected formation energy comes out at -3.12 eV/atom.

Cell: 3.9952 3.9952 7.4845 Å, 90.00 90.00 90.00°
With the nearest neighbours (Å) after each atom.
Sites, in units of the cell vectors:
1 Ce 0.5000 0.0000 0.8396  4 O 2.33
2 Ce 0.0000 0.5000 0.1604  4 O 2.33
3 Br 0.5000 0.0000 0.3598  4 Ce 3.20, 4 O 3.35, 4 Br 3.52
4 Br 0.0000 0.5000 0.6402  4 Ce 3.20, 4 O 3.35, 4 Br 3.52
5 O 0.0000 0.0000 0.0000  4 Ce 2.33
6 O 0.5000 0.5000 0.0000  4 Ce 2.33

=====

The following is a DFT calculation (SCAN) of Ce2Te7Br2O17 at its PBEsol-relaxed geometry.

Computed properties:
The space group is No. 13. The uncorrected formation energy comes out at -1.63 eV/atom.

Cell: 5.3758 9.7099 19.0406 Å, 96.77 90.00 90.00°
With the nearest neighbours (Å) after each atom.
Sites, in units of the cell vectors:
1 O 0.1666 0.7389 0.0995  1 Te 1.88
2 O 0.5714 0.0534 0.4097  1 Te 1.88
3 O 0.4286 0.9466 0.5903  1 Te 1.88
4 O 0.2042 0.1143 0.7149  1 Te 1.90
5 O 0.3575 0.1919 0.8500  2 Te 1.94-2.10
6 O 0.8334 0.2611 0.9005  1 Te 1.88
7 O 0.1218 0.4500 0.1625  1 Te 1.92
8 O 0.6425 0.8081 0.1500  2 Te 1.94-2.10
9 O 0.3575 0.3081 0.6500  2 Te 1.94-2.10
10 O 0.7179 0.0292 0.8014  1 Te 1.88
11 O 0.2821 0.5292 0.3014  1 Te 1.88
12 O 0.1666 0.7611 0.4005  1 Te 1.88
13 O 0.8782 0.5500 0.8375  1 Te 1.92
14 O 0.8334 0.2389 0.5995  1 Te 1.88
15 O 0.5998 0.7499 0.4782  2 Te 2.01-2.04
16 O 0.8782 0.9500 0.6625  1 Te 1.92
17 O 0.9054 0.9153 0.5326  1 Te 1.90
18 O 0.7958 0.8857 0.2851  1 Te 1.90
19 O 0.0946 0.4153 0.0326  1 Te 1.90
20 O 0.4286 0.5534 0.9097  1 Te 1.88
21 O 0.0946 0.0847 0.4674  1 Te 1.90
22 O 0.6425 0.6919 0.3500  2 Te 1.94-2.10
23 O 0.1218 0.0500 0.3375  1 Te 1.92
24 O 0.8102 0.7500 0.7500  2 Te 2.01
25 O 0.5714 0.4466 0.0903  1 Te 1.88
26 O 0.7958 0.6143 0.2149  1 Te 1.90
27 O 0.9054 0.5847 0.9674  1 Te 1.90
28 O 0.1898 0.2500 0.2500  2 Te 2.01
29 O 0.5998 0.7501 0.0218  2 Te 2.01-2.04
30 O 0.2042 0.3857 0.7851  1 Te 1.90
31 O 0.2821 0.9708 0.1986  1 Te 1.88
32 O 0.7179 0.4708 0.6986  1 Te 1.88
33 O 0.4002 0.2501 0.5218  2 Te 2.01-2.04
34 O 0.4002 0.2499 0.9782  2 Te 2.01-2.04
35 Br 0.8321 0.3935 0.4204  5 Te 3.23-3.46, 4 O 3.42-3.57
36 Br 0.1679 0.8935 0.9204  5 Te 3.23-3.46, 4 O 3.42-3.57
37 Br 0.1679 0.6065 0.5796  5 Te 3.23-3.46, 4 O 3.42-3.57
38 Br 0.8321 0.1065 0.0796  5 Te 3.23-3.46, 4 O 3.42-3.57
39 Te 0.6796 0.8108 0.5822  3 O 1.88-2.04
40 Te 0.3974 0.6196 0.4107  3 O 1.88-2.01
41 Te 0.6796 0.6892 0.9178  3 O 1.88-2.04
42 Te 0.9888 0.9324 0.7569  3 O 1.88-2.01
43 Te 0.6026 0.1196 0.9107  3 O 1.88-2.01
44 Te 0.6026 0.3804 0.5893  3 O 1.88-2.01
45 Te 0.3204 0.3108 0.0822  3 O 1.88-2.04
46 Te 0.9888 0.5676 0.7431  3 O 1.88-2.01
47 Te 0.4427 0.2500 0.7500  4 O 1.90-2.10
48 Te 0.0112 0.4324 0.2569  3 O 1.88-2.01
49 Te 0.3974 0.8804 0.0893  3 O 1.88-2.01
50 Te 0.5573 0.7500 0.2500  4 O 1.90-2.10
51 Te 0.3204 0.1892 0.4178  3 O 1.88-2.04
52 Te 0.0112 0.0676 0.2431  3 O 1.88-2.01
53 Ce 0.1378 0.0967 0.5903  5 O 2.14-2.39
54 Ce 0.1378 0.4033 0.9097  5 O 2.14-2.39
55 Ce 0.8622 0.5967 0.0903  5 O 2.14-2.39
56 Ce 0.8622 0.9033 0.4097  5 O 2.14-2.39

=====

The following is a DFT calculation (SCAN) of Rb2CeBr5 at its PBEsol-relaxed geometry.

Computed properties:
The space group is No. 62. The uncorrected formation energy comes out at -2.08 eV/atom.

Cell: 8.5709 9.2807 13.5918 Å, 90.00 90.00 90.00°
With the nearest neighbours (Å) after each atom.
Sites, in units of the cell vectors:
1 Br 0.6555 0.7500 0.2032  1 Ce 2.92
2 Br 0.6191 0.2500 0.1817  1 Ce 2.91
3 Br 0.5819 0.7500 0.4913  1 Ce 2.95
4 Br 0.6678 0.0448 0.9274  2 Ce 3.00
5 Br 0.8445 0.7500 0.7032  1 Ce 2.92
6 Br 0.3809 0.7500 0.8183  1 Ce 2.91
7 Br 0.4181 0.2500 0.5087  1 Ce 2.95
8 Br 0.3322 0.5448 0.0726  2 Ce 3.00
9 Br 0.8322 0.4552 0.4274  2 Ce 3.00
10 Br 0.1191 0.7500 0.3183  1 Ce 2.91
11 Br 0.1678 0.5448 0.5726  2 Ce 3.00
12 Br 0.3322 0.9552 0.0726  2 Ce 3.00
13 Br 0.1555 0.2500 0.2968  1 Ce 2.92
14 Br 0.3445 0.2500 0.7968  1 Ce 2.92
15 Br 0.8809 0.2500 0.6817  1 Ce 2.91
16 Br 0.9181 0.7500 0.9913  1 Ce 2.95
17 Br 0.8322 0.0448 0.4274  2 Ce 3.00
18 Br 0.6678 0.4552 0.9274  2 Ce 3.00
19 Br 0.0819 0.2500 0.0087  1 Ce 2.95
20 Br 0.1678 0.9552 0.5726  2 Ce 3.00
21 Rb 0.5624 0.0063 0.6712  8 Br 3.39-3.67
22 Rb 0.0624 0.5063 0.8288  8 Br 3.39-3.67
23 Rb 0.0624 0.9937 0.8288  8 Br 3.39-3.67
24 Rb 0.9376 0.4937 0.1712  8 Br 3.39-3.67
25 Rb 0.9376 0.0063 0.1712  8 Br 3.39-3.67
26 Rb 0.4376 0.9937 0.3288  8 Br 3.39-3.67
27 Rb 0.4376 0.5063 0.3288  8 Br 3.39-3.67
28 Rb 0.5624 0.4937 0.6712  8 Br 3.39-3.67
29 Ce 0.5735 0.7500 0.9947  7 Br 2.91-3.00
30 Ce 0.9265 0.7500 0.4947  7 Br 2.91-3.00
31 Ce 0.4265 0.2500 0.0053  7 Br 2.91-3.00
32 Ce 0.0735 0.2500 0.5053  7 Br 2.91-3.00

=====

The following is a DFT calculation (SCAN) of BrCl5 at its PBEsol-relaxed geometry.

Computed properties:
The space group is No. 38. For the energy above the most stable polymorph in this dataset, the calculation gives 92 meV/atom. The uncorrected formation energy comes out at 0.13 eV/atom.

Cell: 4.4467 3.9312 10.4954 Å, 100.79 90.00 90.00°
With the nearest neighbours (Å) after each atom.
Sites, in units of the cell vectors:
1 Cl 0.5000 0.9267 0.8533  2 Br 2.34
2 Cl 0.5000 0.2658 0.5315  2 Cl 2.28
3 Cl 0.5000 0.5977 0.1953  2 Cl 2.28
4 Cl 0.0000 0.2910 0.5819  2 Cl 2.28
5 Cl 0.0000 0.6230 0.2460  2 Cl 2.28
6 Br 0.0000 0.9626 0.9252  2 Cl 2.34

=====

The following is a DFT calculation (SCAN) of BrCl5 at its PBEsol-relaxed geometry.

Computed properties:
The space group is No. 8. For the energy above the most stable polymorph in this dataset, the calculation gives 0 meV/atom. The uncorrected formation energy comes out at 0.04 eV/atom.

Cell: 3.8999 4.9051 10.3034 Å, 99.88 90.00 113.42°
With the nearest neighbours (Å) after each atom.
Sites, in units of the cell vectors:
1 Br 0.9842 0.9684 0.9805  1 Cl 2.18
2 Cl 0.3066 0.6131 0.6466  1 Cl 2.00
3 Cl 0.7396 0.4792 0.9675  1 Br 2.18
4 Cl 0.6400 0.2800 0.3188  1 Cl 2.00
5 Cl 0.4149 0.8298 0.2960  1 Cl 2.00
6 Cl 0.0814 0.1628 0.6240  1 Cl 2.00

=====

The following is a DFT calculation (SCAN) of BrCl at its PBEsol-relaxed geometry.

Computed properties:
The space group is No. 123. For the energy above the most stable polymorph in this dataset, the calculation gives 839 meV/atom. The uncorrected formation energy comes out at 0.78 eV/atom.

Cell: 3.1749 3.1749 4.1853 Å, 90.00 90.00 90.00°
With the nearest neighbours (Å) after each atom.
Sites, in units of the cell vectors:
1 Cl 0.5000 0.5000 0.5000  8 Br 3.07, 4 Cl 3.17
2 Br 0.0000 0.0000 0.0000  8 Cl 3.07, 4 Br 3.17

=====

The following is a DFT calculation (SCAN) of BrCl at its PBEsol-relaxed geometry.

Computed properties:
The space group is No. 59. For the energy above the most stable polymorph in this dataset, the calculation gives 139 meV/atom. The uncorrected formation energy comes out at 0.08 eV/atom.

Cell: 4.2062 4.5841 6.8753 Å, 90.00 90.00 90.00°
With the nearest neighbours (Å) after each atom.
Sites, in units of the cell vectors:
1 Cl 0.0000 0.5000 0.7962  2 Br 2.39
2 Cl 0.5000 0.0000 0.2038  2 Br 2.39
3 Br 0.0000 0.0000 0.7000  2 Cl 2.39
4 Br 0.5000 0.5000 0.3000  2 Cl 2.39